No. 1
PBE ZrTi2Ni6, optimized geometry; V = 13.2 Å³/atom; offset from the most stable computed form = 0.000 eV/atom; ρ = 7.5 Mg/m³; E_form = -376.9 meV/atom
1.0
4.450 0.000 0.000
0.205 4.563 0.000
1.802 1.325 5.858
Zr Ti Ni
1 2 6
Direct
0.000 0.000 0.000
0.338 0.671 0.334
0.662 0.329 0.666
0.116 0.567 0.755
0.227 0.131 0.533
0.447 0.234 0.105
0.553 0.766 0.895
0.773 0.869 0.467
0.884 0.433 0.245

No. 2
PBE Nd2ErN3, optimized geometry; V = 16.3 Å³/atom; ρ = 8.4 Mg/m³; uncorrected formation energy = -8.8 eV per formula unit
1.0
3.588 0.000 0.000
0.000 3.588 0.000
0.000 0.000 15.214
Nd Er N
4 2 6
Direct
0.000 0.000 0.163
0.000 0.000 0.837
0.500 0.500 0.337
0.500 0.500 0.663
0.000 0.000 0.500
0.500 0.500 0.000
0.000 0.000 0.000
0.000 0.000 0.341
0.000 0.000 0.659
0.500 0.500 0.159
0.500 0.500 0.500
0.500 0.500 0.841

No. 3
PBE SrHPt, optimized geometry; V = 19.2 Å³/atom; offset from the most stable computed form = 0.000 eV/atom; ρ = 8.2 Mg/m³
1.0
11.803 0.000 0.000
0.000 4.172 0.000
-0.074 0.000 4.688
Sr H Pt
4 4 4
Direct
0.134 0.000 0.248
0.366 0.500 0.752
0.634 0.500 0.248
0.866 0.000 0.752
0.177 0.500 0.975
0.323 0.000 0.025
0.677 0.000 0.975
0.823 0.500 0.025
0.076 0.500 0.717
0.424 0.000 0.283
0.576 0.000 0.717
0.924 0.500 0.283

No. 4
PBE La6Pm12Dy, optimized geometry; V = 35.5 Å³/atom; offset from the most stable computed form = 0.000 eV/atom; ρ = 6.7 Mg/m³; E_form = 121.3 meV/atom
1.0
6.184 3.570 5.089
-6.184 3.570 5.089
0.000 -7.141 5.089
La Pm Dy
6 12 1
Direct
0.198 0.765 0.593
0.235 0.407 0.802
0.407 0.802 0.235
0.593 0.198 0.765
0.765 0.593 0.198
0.802 0.235 0.407
0.033 0.937 0.280
0.063 0.720 0.967
0.139 0.479 0.313
0.280 0.033 0.937
0.313 0.139 0.479
0.479 0.313 0.139
0.521 0.687 0.861
0.687 0.861 0.521
0.720 0.967 0.063
0.861 0.521 0.687
0.937 0.280 0.033
0.967 0.063 0.720
0.500 0.500 0.500

No. 5
PBE La2NiPd, optimized geometry; V = 23.6 Å³/atom; ρ = 7.8 Mg/m³; E_form = -494.2 meV/atom
1.0
3.609 0.000 0.000
0.000 3.609 0.000
0.000 0.000 7.253
La Ni Pd
2 1 1
Direct
0.000 0.000 0.239
0.000 0.000 0.761
0.500 0.500 0.000
0.500 0.500 0.500

No. 6
PBE Li3CdSi, optimized geometry; V = 22.0 Å³/atom; offset from the most stable computed form = 0.350 eV/atom; ρ = 2.4 Mg/m³; uncorrected formation energy = 0.5 eV per formula unit
1.0
4.793 0.000 0.000
0.000 4.793 0.000
0.000 0.000 4.793
Li Cd Si
3 1 1
Direct
0.000 0.000 0.500
0.000 0.500 0.000
0.500 0.000 0.000
0.500 0.500 0.500
0.000 0.000 0.000

No. 7
PBE Er3GaC, optimized geometry; V = 22.2 Å³/atom; offset from the most stable computed form = 0.000 eV/atom; ρ = 8.7 Mg/m³; E_form = -493.9 meV/atom
1.0
4.804 0.000 0.000
0.000 4.804 0.000
0.000 0.000 4.804
Er Ga C
3 1 1
Direct
0.000 0.000 0.500
0.000 0.500 0.000
0.500 0.000 0.000
0.500 0.500 0.500
0.000 0.000 0.000